No. 1
# Mg2Bi2F (GGA-PBE, relaxed)
data_Mg2Bi2F
_cell_length_a 5.810
_cell_length_b 5.810
_cell_length_c 8.358
_cell_angle_alpha 90.00
_cell_angle_beta 90.00
_cell_angle_gamma 90.00
_symmetry_space_group_name_H-M 'I 4/m m m'
_symmetry_Int_Tables_number 139
_symmetry_space_group_name_Hall '-I 4 2'
loop_
_atom_site_label
_atom_site_type_symbol
_atom_site_fract_x
_atom_site_fract_y
_atom_site_fract_z
_atom_site_occupancy
Mg1 Mg 0.000 0.500 0.250 1
Bi1 Bi 0.000 0.000 0.184 1
F1 F 0.000 0.000 0.500 1
# DFT total energy ... -0.111 Ha/atom
# Energy relative to the elements, uncorrected ... -450 meV/atom
# Energy above the most stable polymorph in this dataset ... 0.077 eV per formula unit


No. 2
# MgBi2F (GGA-PBE, relaxed)
data_MgBi2F
_cell_length_a 7.134
_cell_length_b 7.134
_cell_length_c 7.134
_cell_angle_alpha 90.00
_cell_angle_beta 90.00
_cell_angle_gamma 90.00
_symmetry_space_group_name_H-M 'F m -3 m'
_symmetry_Int_Tables_number 225
_symmetry_space_group_name_Hall '-F 4 2 3'
loop_
_atom_site_label
_atom_site_type_symbol
_atom_site_fract_x
_atom_site_fract_y
_atom_site_fract_z
_atom_site_occupancy
Mg1 Mg 0.000 0.000 0.000 1
Bi1 Bi 0.250 0.250 0.250 1
F1 F 0.000 0.000 0.500 1
# DFT total energy ... -0.126 Ha/atom
# Energy relative to the elements, uncorrected ... -615 meV/atom
# Energy above the most stable polymorph in this dataset ... 0.000 eV per formula unit


No. 3
# MgBiF2 (GGA-PBE, relaxed)
data_MgBiF2
_cell_length_a 3.2051
_cell_length_b 3.2051
_cell_length_c 28.9899
_cell_angle_alpha 90.00
_cell_angle_beta 90.00
_cell_angle_gamma 120.00
_symmetry_space_group_name_H-M 'R -3 m'
_symmetry_Int_Tables_number 166
_symmetry_space_group_name_Hall '-R 3 2"'
loop_
_atom_site_label
_atom_site_type_symbol
_atom_site_fract_x
_atom_site_fract_y
_atom_site_fract_z
_atom_site_occupancy
Mg1 Mg 0.0000 0.0000 0.0000 1
Bi1 Bi 0.0000 0.0000 0.5000 1
F1 F 0.0000 0.0000 0.3646 1
# DFT total energy ... -0.174 Ha/atom
# Energy relative to the elements, uncorrected ... -2423 meV/atom
# Energy above the most stable polymorph in this dataset ... 0.000 eV per formula unit